Compound: Pa2CdC
Source: the Alexandria database
Functional: PBE
Structure: optimized geometry

Properties
Spin magnetization ... 0.000 μB per atom
Theoretical density ... 11.57 g/cm3
Energy of formation ... -0.190 eV per atom

a b c (Å): 9.033 9.033 9.033
angles (deg): 21.17 21.17 21.17
Element x y z (fractional)
Pa 0.224 0.224 0.224
Pa 0.776 0.776 0.776
Cd 0.000 0.000 0.000
C 0.500 0.500 0.500